Record 1
MgFeSb2: optimized geometry, GGA-PBE.

The structure in CIF format:
```
data_MgFeSb2
_space_group_name_H-M_alt 'C 1 2/m 1'
_space_group_IT_number 12
_space_group_name_Hall '-C 2y'
_cell_length_a 6.329
_cell_length_b 3.635
_cell_length_c 7.889
_cell_angle_alpha 90.00
_cell_angle_beta 105.56
_cell_angle_gamma 90.00
loop_
_atom_site_label
_atom_site_type_symbol
_atom_site_fract_x
_atom_site_fract_y
_atom_site_fract_z
_atom_site_occupancy
Mg1 Mg 0.000 0.000 0.000 1
Fe1 Fe 0.000 0.500 0.500 1
Sb1 Sb 0.237 0.000 0.709 1
```

Properties
* excess energy over the best structure of this formula in the dataset: 0 meV per atom
* formation energy from raw total energies: 41 meV per atom
* mass density: 6.148 g cm⁻³
* volume: 21.85 A^3/atom
* N(E_F): 0.6937 states/eV per atom
* crystal system: monoclinic

Record 2
KTaTc2: optimized geometry, GGA-PBE.

The structure in CIF format:
```
data_KTaTc2
_space_group_name_H-M_alt 'P 1 2/m 1'
_space_group_IT_number 10
_space_group_name_Hall '-P 2y'
_cell_length_a 5.515
_cell_length_b 2.620
_cell_length_c 5.581
_cell_angle_alpha 90.00
_cell_angle_beta 114.22
_cell_angle_gamma 90.00
loop_
_atom_site_label
_atom_site_type_symbol
_atom_site_fract_x
_atom_site_fract_y
_atom_site_fract_z
_atom_site_occupancy
K1 K 0.000 0.000 0.000 1
Ta1 Ta 0.500 0.500 0.500 1
Tc1 Tc 0.000 0.000 0.500 1
Tc2 Tc 0.500 0.500 0.000 1
```

Properties
* excess energy over the best structure of this formula in the dataset: 753 meV per atom
* mass density: 9.393 g cm⁻³
* volume: 18.39 A^3/atom
* energy of formation: 505.8 kJ/mol of formula units
* N(E_F): 1.3028 states/eV per atom
* crystal system: monoclinic

Record 3
K4RbBa: optimized geometry, GGA-PBE.

The structure in CIF format:
```
data_K4RbBa
_space_group_name_H-M_alt 'F -4 3 m'
_space_group_IT_number 216
_space_group_name_Hall 'F -4 2 3'
_cell_length_a 12.125
_cell_length_b 12.125
_cell_length_c 12.125
_cell_angle_alpha 90.00
_cell_angle_beta 90.00
_cell_angle_gamma 90.00
loop_
_atom_site_label
_atom_site_type_symbol
_atom_site_fract_x
_atom_site_fract_y
_atom_site_fract_z
_atom_site_occupancy
K1 K 0.125 0.125 0.125 1
Rb1 Rb 0.250 0.250 0.750 1
Ba1 Ba 0.000 0.000 0.500 1
```

Properties
* excess energy over the best structure of this formula in the dataset: 36 meV per atom
* mass density: 1.413 g cm⁻³
* volume: 74.27 A^3/atom
* energy of formation: 52.9 kJ/mol of formula units
* N(E_F): 1.0930 states/eV per atom
* crystal system: cubic

Record 4
TiBeTeN2: optimized geometry, GGA-PBE.

The structure in CIF format:
```
data_TiBeTeN2
_space_group_name_H-M_alt 'P 4/m m m'
_space_group_IT_number 123
_space_group_name_Hall '-P 4 2'
_cell_length_a 3.698
_cell_length_b 3.698
_cell_length_c 5.031
_cell_angle_alpha 90.00
_cell_angle_beta 90.00
_cell_angle_gamma 90.00
loop_
_atom_site_label
_atom_site_type_symbol
_atom_site_fract_x
_atom_site_fract_y
_atom_site_fract_z
_atom_site_occupancy
Ti1 Ti 0.000 0.000 0.000 1
Be1 Be 0.500 0.500 0.500 1
Te1 Te 0.500 0.500 0.000 1
N1 N 0.000 0.500 0.500 1
```

Properties
* excess energy over the best structure of this formula in the dataset: 504 meV per atom
* formation energy from raw total energies: 994 meV per atom
* mass density: 5.130 g cm⁻³
* volume: 13.76 A^3/atom
* N(E_F): 0.6895 states/eV per atom
* crystal system: tetragonal

Record 5
Cs2NdAlTe4: optimized geometry, GGA-PBE.

The structure in CIF format:
```
data_Cs2NdAlTe4
_space_group_name_H-M_alt 'I -4 2 m'
_space_group_IT_number 121
_space_group_name_Hall 'I -4 2'
_cell_length_a 9.377
_cell_length_b 9.377
_cell_length_c 7.652
_cell_angle_alpha 90.00
_cell_angle_beta 90.00
_cell_angle_gamma 90.00
loop_
_atom_site_label
_atom_site_type_symbol
_atom_site_fract_x
_atom_site_fract_y
_atom_site_fract_z
_atom_site_occupancy
Cs1 Cs 0.000 0.500 0.000 1
Nd1 Nd 0.000 0.000 0.000 1
Al1 Al 0.000 0.000 0.500 1
Te1 Te 0.161 0.161 0.287 1
```

Properties
* formation energy from raw total energies: -1017 meV per atom
* mass density: 4.677 g cm⁻³
* volume: 42.05 A^3/atom
* N(E_F): 0.0000 states/eV per atom
* crystal system: tetragonal

Record 6
Pr8Sb3Te4As: optimized geometry, GGA-PBE.

The structure in CIF format:
```
data_Pr8Sb3Te4As
_space_group_name_H-M_alt 'R -3 m'
_space_group_IT_number 166
_space_group_name_Hall '-R 3 2"'
_cell_length_a 9.0186
_cell_length_b 9.0186
_cell_length_c 22.2960
_cell_angle_alpha 90.00
_cell_angle_beta 90.00
_cell_angle_gamma 120.00
loop_
_atom_site_label
_atom_site_type_symbol
_atom_site_fract_x
_atom_site_fract_y
_atom_site_fract_z
_atom_site_occupancy
Pr1 Pr 0.0000 0.0000 0.2468 1
Pr2 Pr 0.0108 0.5054 0.2443 1
Sb1 Sb 0.0000 0.5000 0.5000 1
Te1 Te 0.0000 0.0000 0.0000 1
Te2 Te 0.0000 0.5000 0.0000 1
As1 As 0.0000 0.0000 0.5000 1
```

Properties
* formation energy from raw total energies: -1398 meV per atom
* mass density: 6.591 g cm⁻³
* volume: 32.72 A^3/atom
* N(E_F): 0.4808 states/eV per atom
* crystal system: trigonal

Record 7
Nd2DyBr: optimized geometry, GGA-PBE.

The structure in CIF format:
```
data_Nd2DyBr
_space_group_name_H-M_alt 'R -3 m'
_space_group_IT_number 166
_space_group_name_Hall '-R 3 2"'
_cell_length_a 3.7093
_cell_length_b 3.7093
_cell_length_c 31.7987
_cell_angle_alpha 90.00
_cell_angle_beta 90.00
_cell_angle_gamma 120.00
loop_
_atom_site_label
_atom_site_type_symbol
_atom_site_fract_x
_atom_site_fract_y
_atom_site_fract_z
_atom_site_occupancy
Nd1 Nd 0.0000 0.0000 0.2427 1
Dy1 Dy 0.0000 0.0000 0.0000 1
Br1 Br 0.0000 0.0000 0.5000 1
```

Properties
* excess energy over the best structure of this formula in the dataset: 0 meV per atom
* formation energy from raw total energies: -547 meV per atom
* mass density: 6.980 g cm⁻³
* volume: 31.58 A^3/atom
* N(E_F): 1.0006 states/eV per atom
* crystal system: trigonal

Record 8
YNbSe3: optimized geometry, GGA-PBE.

The structure in CIF format:
```
data_YNbSe3
_space_group_name_H-M_alt 'P m -3 m'
_space_group_IT_number 221
_space_group_name_Hall '-P 4 2 3'
_cell_length_a 5.352
_cell_length_b 5.352
_cell_length_c 5.352
_cell_angle_alpha 90.00
_cell_angle_beta 90.00
_cell_angle_gamma 90.00
loop_
_atom_site_label
_atom_site_type_symbol
_atom_site_fract_x
_atom_site_fract_y
_atom_site_fract_z
_atom_site_occupancy
Y1 Y 0.000 0.000 0.000 1
Nb1 Nb 0.500 0.500 0.500 1
Se1 Se 0.000 0.000 0.500 1
```

Properties
* excess energy over the best structure of this formula in the dataset: 720 meV per atom
* formation energy from raw total energies: 97 meV per atom
* mass density: 4.536 g cm⁻³
* volume: 30.65 A^3/atom
* N(E_F): 0.4877 states/eV per atom
* crystal system: cubic

Record 9
NaSm2Tm: optimized geometry, GGA-PBE.

The structure in CIF format:
```
data_NaSm2Tm
_space_group_name_H-M_alt 'R -3 m'
_space_group_IT_number 166
_space_group_name_Hall '-R 3 2"'
_cell_length_a 3.5270
_cell_length_b 3.5270
_cell_length_c 38.2149
_cell_angle_alpha 90.00
_cell_angle_beta 90.00
_cell_angle_gamma 120.00
loop_
_atom_site_label
_atom_site_type_symbol
_atom_site_fract_x
_atom_site_fract_y
_atom_site_fract_z
_atom_site_occupancy
Na1 Na 0.0000 0.0000 0.0000 1
Sm1 Sm 0.0000 0.0000 0.0926 1
Tm1 Tm 0.0000 0.0000 0.5000 1
```

Properties
* excess energy over the best structure of this formula in the dataset: 25 meV per atom
* mass density: 5.961 g cm⁻³
* volume: 34.31 A^3/atom
* energy of formation: 52.3 kJ/mol of formula units
* N(E_F): 1.1405 states/eV per atom
* crystal system: trigonal

Record 10
LaPrTeO2: optimized geometry, GGA-PBE.

The structure in CIF format:
```
data_LaPrTeO2
_space_group_name_H-M_alt 'I 4 m m'
_space_group_IT_number 107
_space_group_name_Hall 'I 4 -2'
_cell_length_a 4.120
_cell_length_b 4.120
_cell_length_c 13.145
_cell_angle_alpha 90.00
_cell_angle_beta 90.00
_cell_angle_gamma 90.00
loop_
_atom_site_label
_atom_site_type_symbol
_atom_site_fract_x
_atom_site_fract_y
_atom_site_fract_z
_atom_site_occupancy
La1 La 0.000 0.000 0.000 1
Pr1 Pr 0.000 0.000 0.681 1
Te1 Te 0.000 0.000 0.337 1
O1 O 0.000 0.500 0.090 1
```

Properties
* formation energy from raw total energies: -2943 meV per atom
* mass density: 6.539 g cm⁻³
* volume: 22.32 A^3/atom
* N(E_F): 0.0000 states/eV per atom
* crystal system: tetragonal

Record 11
CrCuNi2: optimized geometry, GGA-PBE.

The structure in CIF format:
```
data_CrCuNi2
_space_group_name_H-M_alt 'C 1 2/m 1'
_space_group_IT_number 12
_space_group_name_Hall '-C 2y'
_cell_length_a 8.234
_cell_length_b 2.471
_cell_length_c 4.470
_cell_angle_alpha 90.00
_cell_angle_beta 98.69
_cell_angle_gamma 90.00
loop_
_atom_site_label
_atom_site_type_symbol
_atom_site_fract_x
_atom_site_fract_y
_atom_site_fract_z
_atom_site_occupancy
Cr1 Cr 0.000 0.000 0.000 1
Cu1 Cu 0.000 0.500 0.500 1
Ni1 Ni 0.250 0.000 0.757 1
```

Properties
* mass density: 8.606 g cm⁻³
* volume: 11.24 A^3/atom
* energy of formation: 43.4 kJ/mol of formula units
* N(E_F): 1.2084 states/eV per atom
* crystal system: monoclinic

Record 12
Pm4Ho5Zn: optimized geometry, GGA-PBE.

The structure in CIF format:
```
data_Pm4Ho5Zn
_space_group_name_H-M_alt 'P 4/m m m'
_space_group_IT_number 123
_space_group_name_Hall '-P 4 2'
_cell_length_a 3.577
_cell_length_b 3.577
_cell_length_c 23.935
_cell_angle_alpha 90.00
_cell_angle_beta 90.00
_cell_angle_gamma 90.00
loop_
_atom_site_label
_atom_site_type_symbol
_atom_site_fract_x
_atom_site_fract_y
_atom_site_fract_z
_atom_site_occupancy
Pm1 Pm 0.000 0.000 0.106 1
Pm2 Pm 0.000 0.000 0.319 1
Ho1 Ho 0.500 0.500 0.000 1
Ho2 Ho 0.500 0.500 0.213 1
Ho3 Ho 0.500 0.500 0.427 1
Zn1 Zn 0.000 0.000 0.500 1
```

Properties
* mass density: 7.969 g cm⁻³
* volume: 30.63 A^3/atom
* energy of formation: -53.2 kJ/mol of formula units
* N(E_F): 1.1663 states/eV per atom
* crystal system: tetragonal